This record from Alexandria describes crystalline Tb6ThS8 at its relaxed geometry. The functional is PBE.

The value obtained for the total energy is -392.66 eV per cell. Its volume is 22.877 Å³/atom. The calculation puts the total magnetic moment at 0.000 μB/f.u.

The space group is Fm-3m (No. 225) and the conventional cell measures 11.1135, 11.1135 and 11.1135 Å, with angles of 90.00, 90.00 and 90.00 degrees. The inequivalent atoms are Tb at (0.0000, 0.2500, 0.2500), Th at (0.0000, 0.0000, 0.0000), S at (0.0000, 0.0000, 0.2571) and S at (0.2500, 0.2500, 0.2500).